# 1
The following is a PBE-GGA calculation of a relaxed structure of ZrNbS4, from Alexandria via LeMat-Bulk.

Calculated values
- DOS(E_F) (states/eV per cell) = 3.0
- E_form (uncorrected) (meV per atom) = -1214
- crystal system = monoclinic

CIF file:
```
data_ZrNbS4
_chemical_formula_sum 'Zr1 Nb1 S4'
_cell_length_a 6.1240
_cell_length_b 3.5188
_cell_length_c 6.9767
_cell_angle_alpha 90.00
_cell_angle_beta 106.11
_cell_angle_gamma 90.00
_space_group_name_H-M_alt 'P 1 2/m 1'
_space_group_IT_number 10
loop_
_space_group_symop_operation_xyz
'x,y,z'
'-x,-y,-z'
'-x,y,-z'
'x,-y,z'
loop_
_atom_site_label
_atom_site_type_symbol
_atom_site_fract_x
_atom_site_fract_y
_atom_site_fract_z
Zr1 Zr 0.0000 0.0000 0.0000
Nb1 Nb 0.5000 0.5000 0.0000
S1 S 0.2479 0.5000 0.2272
S2 S 0.2709 0.0000 0.7755
```

# 2
The following is a PBE-GGA calculation of a relaxed structure of Tm4AgRu2Au, from Alexandria via LeMat-Bulk.

Calculated values
- energy of formation (meV per atom) = -528.8
- DOS(E_F) (states/eV per cell) = 12.2
- crystal system = trigonal

CIF file:
```
data_Tm4AgRu2Au
_chemical_formula_sum 'Tm12 Ag3 Ru6 Au3'
_cell_length_a 4.8862
_cell_length_b 4.8862
_cell_length_c 23.9127
_cell_angle_alpha 90.00
_cell_angle_beta 90.00
_cell_angle_gamma 120.00
_space_group_name_H-M_alt 'R -3 m'
_space_group_IT_number 166
_space_group_name_Hall '-R 3 2"'
loop_
_atom_site_label
_atom_site_type_symbol
_atom_site_fract_x
_atom_site_fract_y
_atom_site_fract_z
Tm1 Tm 0.0000 0.0000 0.1246
Tm2 Tm 0.0000 0.0000 0.3746
Ag1 Ag 0.0000 0.0000 0.5000
Ru1 Ru 0.0000 0.0000 0.2495
Au1 Au 0.0000 0.0000 0.0000
```

Please write out number 2 again, unchanged.
The following is a PBE-GGA calculation of a relaxed structure of Tm4AgRu2Au, from Alexandria via LeMat-Bulk.

Calculated values
- energy of formation (meV per atom) = -528.8
- DOS(E_F) (states/eV per cell) = 12.2
- crystal system = trigonal

CIF file:
```
data_Tm4AgRu2Au
_chemical_formula_sum 'Tm12 Ag3 Ru6 Au3'
_cell_length_a 4.8862
_cell_length_b 4.8862
_cell_length_c 23.9127
_cell_angle_alpha 90.00
_cell_angle_beta 90.00
_cell_angle_gamma 120.00
_space_group_name_H-M_alt 'R -3 m'
_space_group_IT_number 166
_space_group_name_Hall '-R 3 2"'
loop_
_atom_site_label
_atom_site_type_symbol
_atom_site_fract_x
_atom_site_fract_y
_atom_site_fract_z
Tm1 Tm 0.0000 0.0000 0.1246
Tm2 Tm 0.0000 0.0000 0.3746
Ag1 Ag 0.0000 0.0000 0.5000
Ru1 Ru 0.0000 0.0000 0.2495
Au1 Au 0.0000 0.0000 0.0000
```

- What is the DOS(E_F) in the second record?
  12.2 states/eV per cell